A plane-wave DFT calculation with SCAN was carried out for a PBEsol-optimized structure of Cs3Cr2I9.

## Properties
Excess energy over the best structure of this formula in the dataset: 0 meV per atom
E_form (uncorrected): -1.13 eV/atom

a b c (Å): 7.9651 7.9651 20.0709
angles (deg): 90.00 90.00 120.00
Space group P6_3/mmc (No. 194)
Unique sites:
Cs: 0.0000 0.0000 0.2500 [2 per cell]
Cs: 0.3333 0.6667 0.0687 [4 per cell]
Cr: 0.3333 0.6667 0.6625 [4 per cell]
I: 0.0234 0.5117 0.7500 [6 per cell]
I: 0.1720 0.3440 0.5903 [12 per cell]

A plane-wave DFT calculation with SCAN was carried out for a PBEsol-optimized structure of SnTe2AuI.

## Properties
E_form (uncorrected): 0.77 eV/atom

a b c (Å): 5.610 5.610 5.673
angles (deg): 90.00 90.00 90.00
Space group P4/mmm (No. 123)
Unique sites:
Sn: 0.000 0.000 0.000 [1 per cell]
Te: 0.000 0.500 0.000 [2 per cell]
Au: 0.500 0.500 0.500 [1 per cell]
I: 0.000 0.000 0.500 [1 per cell]

A plane-wave DFT calculation with SCAN was carried out for a PBEsol-optimized structure of BaReSb2.

## Properties
Excess energy over the best structure of this formula in the dataset: 163 meV per atom
E_form (uncorrected): 0.27 eV/atom

a b c (Å): 3.580 3.580 7.908
angles (deg): 90.00 90.00 90.00
Space group P4mm (No. 99)
Unique sites:
Ba: 0.000 0.000 0.000 [1 per cell]
Re: 0.500 0.500 0.318 [1 per cell]
Sb: 0.000 0.000 0.441 [1 per cell]
Sb: 0.500 0.500 0.681 [1 per cell]

What calculated density values result from the calculations? In sequence: 4.95, 6.49, 9.29 g cm⁻³.